[1]
Density functional theory data (PBE) for Ce4SnC after structural relaxation.

Structure (CIF):
```
data_Ce4SnC
_cell_length_a 8.503
_cell_length_b 8.503
_cell_length_c 6.336
_cell_angle_alpha 102.52
_cell_angle_beta 102.52
_cell_angle_gamma 42.52
_space_group_name_H-M_alt 'P 1'
_space_group_IT_number 1
loop_
_space_group_symop_operation_xyz
'x,y,z'
loop_
_atom_site_label
_atom_site_fract_x
_atom_site_fract_y
_atom_site_fract_z
_atom_site_occupancy
Ce1 0.109 0.703 0.689 1
Ce2 0.176 0.400 0.171 1
Ce3 0.297 0.891 0.811 1
Ce4 0.400 0.176 0.671 1
Ce5 0.600 0.824 0.329 1
Ce6 0.703 0.109 0.189 1
Ce7 0.824 0.600 0.829 1
Ce8 0.891 0.297 0.311 1
Sn1 0.281 0.719 0.250 1
Sn2 0.719 0.281 0.750 1
C1 0.000 0.500 0.500 1
C2 0.500 0.000 0.000 1
```

Values from the calculation:
Calculated formation energy ... -190 meV/atom



[2]
Density functional theory data (PBE) for Nb2TlO5 after structural relaxation.

Structure (CIF):
```
data_Nb2TlO5
_cell_length_a 3.420
_cell_length_b 5.503
_cell_length_c 10.855
_cell_angle_alpha 90.00
_cell_angle_beta 90.00
_cell_angle_gamma 90.00
_space_group_name_H-M_alt 'P 1'
_space_group_IT_number 1
loop_
_space_group_symop_operation_xyz
'x,y,z'
loop_
_atom_site_label
_atom_site_fract_x
_atom_site_fract_y
_atom_site_fract_z
_atom_site_occupancy
Nb1 0.000 0.000 0.185 1
Nb2 0.000 0.000 0.815 1
Nb3 0.500 0.500 0.315 1
Nb4 0.500 0.500 0.685 1
Tl1 0.000 0.500 0.000 1
Tl2 0.500 0.000 0.500 1
O1 0.000 0.000 0.000 1
O2 0.000 0.260 0.328 1
O3 0.000 0.260 0.672 1
O4 0.000 0.740 0.328 1
O5 0.000 0.740 0.672 1
O6 0.500 0.240 0.172 1
O7 0.500 0.240 0.828 1
O8 0.500 0.500 0.500 1
O9 0.500 0.760 0.172 1
O10 0.500 0.760 0.828 1
```

Values from the calculation:
Uncorrected formation energy ... -2.028 eV per atom



Total magnetization values, unit Bohr magnetons per cell, following the record order: 5.98, 2.04.